No. 1
Density functional theory data (PBE) for a geometry-optimized CaLaPm2Se4 structure.

Output
Energy relative to the elements, uncorrected (meV/atom): -1905
Magnetic moment (μB per atom): 0.000

Cell and atoms, written as CIF:
```
data_CaLaPm2Se4
_cell_length_a 8.425
_cell_length_b 8.491
_cell_length_c 11.962
_cell_angle_alpha 90.00
_cell_angle_beta 90.00
_cell_angle_gamma 90.00
_symmetry_space_group_name_H-M 'I m m a'
_symmetry_Int_Tables_number 74
_symmetry_space_group_name_Hall '-I 2b 2'
loop_
_atom_site_label
_atom_site_fract_x
_atom_site_fract_y
_atom_site_fract_z
Ca1 0.250 0.250 0.250
La1 0.000 0.000 0.000
Pm1 0.000 0.000 0.500
Pm2 0.250 0.250 0.750
Se1 0.000 0.003 0.252
Se2 0.245 0.250 0.498
```

No. 2
Density functional theory data (PBE) for a geometry-optimized Ca2LaPmSe4 structure.

Output
Energy relative to the elements, uncorrected (meV/atom): -1935
Magnetic moment (μB per atom): 0.000

Cell and atoms, written as CIF:
```
data_Ca2LaPmSe4
_cell_length_a 7.279
_cell_length_b 4.203
_cell_length_c 7.410
_cell_angle_alpha 90.00
_cell_angle_beta 109.10
_cell_angle_gamma 90.00
_symmetry_space_group_name_H-M 'P 1 2/m 1'
_symmetry_Int_Tables_number 10
_symmetry_space_group_name_Hall '-P 2y'
loop_
_atom_site_label
_atom_site_fract_x
_atom_site_fract_y
_atom_site_fract_z
Ca1 0.000 0.000 0.000
Ca2 0.500 0.500 0.000
La1 0.000 0.500 0.500
Pm1 0.500 0.000 0.500
Se1 0.251 0.500 0.244
Se2 0.257 0.000 0.759
```

No. 3
Density functional theory data (PBE) for a geometry-optimized CaLa2PmSe4 structure.

Output
Energy relative to the elements, uncorrected (meV/atom): -1943
Magnetic moment (μB per atom): 0.000

Cell and atoms, written as CIF:
```
data_CaLa2PmSe4
_cell_length_a 7.380
_cell_length_b 4.238
_cell_length_c 7.388
_cell_angle_alpha 90.00
_cell_angle_beta 109.18
_cell_angle_gamma 90.00
_symmetry_space_group_name_H-M 'P 1 2/m 1'
_symmetry_Int_Tables_number 10
_symmetry_space_group_name_Hall '-P 2y'
loop_
_atom_site_label
_atom_site_fract_x
_atom_site_fract_y
_atom_site_fract_z
Ca1 0.000 0.000 0.000
La1 0.500 0.000 0.500
La2 0.500 0.500 0.000
Pm1 0.000 0.500 0.500
Se1 0.239 0.500 0.244
Se2 0.240 0.000 0.750
```